1.
5
Lattice="-3.279 4.561 -0.857 -4.049 -3.199 -1.533 -1.808 -0.289 5.379" Properties=species:S:1:pos:R:3 comment="Cs2YMoS GGA-PBE optimized geometry" crystal_system=tetragonal magmom_total_mub_per_fu=0.00 energy_ev_per_atom=-3.736 pbc="T T T"
Cs -0.904 -0.144 2.690
Cs -1.639 2.281 -0.429
Y -2.025 -1.600 -0.767
Mo 0.000 0.000 0.000
S -4.568 0.536 1.494

---

2.
8
Lattice="4.948 -5.034 0.000 4.948 5.034 0.000 0.000 0.000 2.915" Properties=species:S:1:pos:R:3 comment="Ta5Cl3 GGA-PBE optimized geometry" crystal_system=orthorhombic magmom_total_mub_per_fu=0.00 energy_ev_per_atom=-7.730 pbc="T T T"
Ta 0.000 0.000 0.000
Ta 2.474 2.517 0.000
Ta 2.474 -2.517 0.000
Ta 2.711 0.000 1.457
Ta 7.186 0.000 1.457
Cl 4.948 0.000 0.000
Cl 4.948 -2.919 1.457
Cl 4.948 2.919 1.457

---

3.
6
Lattice="4.817 -0.606 0.000 -1.449 4.634 0.000 0.000 0.000 5.472" Properties=species:S:1:pos:R:3 comment="PaPIr GGA-PBE optimized geometry" crystal_system=orthorhombic formation_enthalpy_0k_ev_per_atom=-0.724 magmom_total_mub_per_fu=0.00 energy_ev_per_atom=-8.646 pbc="T T T"
P 3.925 0.140 4.104
P -0.557 3.888 1.368
Pa -0.264 3.642 4.104
Pa 3.631 0.386 1.368
Ir 1.252 2.375 1.368
Ir 2.115 1.653 4.104

---

4.
4
Lattice="5.496 0.000 0.000 2.748 4.759 0.000 2.748 1.586 4.487" Properties=species:S:1:pos:R:3 comment="BaMgTlAg GGA-PBE optimized geometry" crystal_system=cubic formation_enthalpy_0k_ev_per_atom=-0.160 magmom_total_mub_per_fu=0.00 energy_ev_per_atom=-2.344 pbc="T T T"
Mg 5.496 3.173 2.244
Tl 8.244 4.759 3.365
Ba 0.000 0.000 0.000
Ag 2.748 1.586 1.122

---

Which formula does entry 3 have? PaPIr